Compound: Pm2Sb2F
Source: Alexandria via LeMat-Bulk
Functional: GGA-PBE
Structure: relaxed

a b c (Å): 4.4771 7.8545 8.0958
angles (deg): 90.00 106.05 90.00
With the nearest neighbours (Å) after each atom.
Fractional coordinates of all 10 atoms:
Pm1 0.4533 0.3979 0.9066  2 F 2.63-2.65
Pm2 0.8430 0.0411 0.6860  2 F 2.45
Pm3 0.1570 0.5411 0.3140  2 F 2.45
Pm4 0.5467 0.8979 0.0934  2 F 2.63-2.65
Sb1 0.9469 0.6898 0.8937  1 Sb 3.08, 5 Pm 3.18-3.21, 2 F 3.35
Sb2 0.7989 0.4299 0.5978  1 Sb 3.08, 5 Pm 3.13-3.29, 1 F 3.35
Sb3 0.2011 0.9299 0.4022  1 Sb 3.08, 5 Pm 3.13-3.29, 1 F 3.35
Sb4 0.0531 0.1898 0.1063  1 Sb 3.08, 5 Pm 3.18-3.21, 2 F 3.35
F1 0.4038 0.0756 0.8075  4 Pm 2.45-2.65
F2 0.5962 0.5756 0.1925  4 Pm 2.45-2.65

**Density**: 6.7 g/cm3
**Raw total energy**: -55.8 eV/cell
**Total magnetization**: 0.000 μB/f.u.